! Mg2SbMo, optimized geometry, DFT PBE; values from VASP
! - energy relative to the elements, uncorrected (eV/atom) = 0.28
! - DFT total energy (Ry per atom) = -0.313
! - total magnetization (μB per cell) = 0.0
&SYSTEM
  ibrav = 0, nat = 4, ntyp = 3
/
ATOMIC_SPECIES
Mg 24.30 Mg.upf
Sb 121.76 Sb.upf
Mo 95.94 Mo.upf
ATOMIC_POSITIONS crystal
Mg 0.236 0.000 0.267
Mg 0.764 0.000 0.733
Sb 0.500 0.500 0.000
Mo 0.000 0.500 0.500
CELL_PARAMETERS angstrom
2.970 0.000 0.000
0.000 4.923 0.000
-1.440 0.000 5.387

! Mg2SbMo, optimized geometry, DFT PBE; values from VASP
! - energy relative to the elements, uncorrected (eV/atom) = 0.11
! - DFT total energy (Ry per atom) = -0.325
! - total magnetization (μB per cell) = 0.7
&SYSTEM
  ibrav = 0, nat = 4, ntyp = 3
/
ATOMIC_SPECIES
Mg 24.30 Mg.upf
Sb 121.76 Sb.upf
Mo 95.94 Mo.upf
ATOMIC_POSITIONS crystal
Mg 0.000 0.000 0.000
Mg 0.750 0.250 0.500
Sb 0.500 0.500 0.000
Mo 0.250 0.750 0.500
CELL_PARAMETERS angstrom
-2.076 2.076 4.373
2.076 -2.076 4.373
2.076 2.076 -4.373

! Mg2SbMo, optimized geometry, DFT PBE; values from VASP
! - energy relative to the elements, uncorrected (eV/atom) = 0.06
! - DFT total energy (Ry per atom) = -0.329
! - total magnetization (μB per cell) = 0.5
&SYSTEM
  ibrav = 0, nat = 4, ntyp = 3
/
ATOMIC_SPECIES
Mg 24.30 Mg.upf
Sb 121.76 Sb.upf
Mo 95.94 Mo.upf
ATOMIC_POSITIONS crystal
Mg 0.000 0.000 0.000
Mg 0.500 0.500 0.259
Sb 0.500 0.500 0.722
Mo 0.000 0.000 0.508
CELL_PARAMETERS angstrom
3.575 0.000 0.000
0.000 3.575 0.000
0.000 0.000 6.117

! MgSb2Mo, optimized geometry, DFT PBE; values from VASP
! - energy relative to the elements, uncorrected (eV/atom) = 0.33
! - DFT total energy (Ry per atom) = -0.356
! - total magnetization (μB per cell) = 2.0
&SYSTEM
  ibrav = 0, nat = 4, ntyp = 3
/
ATOMIC_SPECIES
Mg 24.30 Mg.upf
Sb 121.76 Sb.upf
Mo 95.94 Mo.upf
ATOMIC_POSITIONS crystal
Mg 0.000 0.000 0.000
Sb 0.500 0.500 0.000
Sb 0.750 0.250 0.500
Mo 0.250 0.750 0.500
CELL_PARAMETERS angstrom
-2.083 2.083 4.945
2.083 -2.083 4.945
2.083 2.083 -4.945

! Mg2SbMo, optimized geometry, DFT PBE; values from VASP
! - energy relative to the elements, uncorrected (eV/atom) = 0.20
! - DFT total energy (Ry per atom) = -0.319
! - total magnetization (μB per cell) = 0.0
&SYSTEM
  ibrav = 0, nat = 4, ntyp = 3
/
ATOMIC_SPECIES
Mg 24.30 Mg.upf
Sb 121.76 Sb.upf
Mo 95.94 Mo.upf
ATOMIC_POSITIONS crystal
Mg 0.000 0.000 0.000
Mg 0.243 0.243 0.770
Sb 0.765 0.765 0.304
Mo 0.506 0.506 0.510
CELL_PARAMETERS angstrom
5.003 -1.494 0.000
5.003 1.494 0.000
-0.580 0.000 5.296

! Mg2SbMo, optimized geometry, DFT PBE; values from VASP
! - energy relative to the elements, uncorrected (eV/atom) = 0.19
! - DFT total energy (Ry per atom) = -0.319
! - total magnetization (μB per cell) = 0.3
&SYSTEM
  ibrav = 0, nat = 4, ntyp = 3
/
ATOMIC_SPECIES
Mg 24.30 Mg.upf
Sb 121.76 Sb.upf
Mo 95.94 Mo.upf
ATOMIC_POSITIONS crystal
Mg 0.250 0.750 0.500
Mg 0.750 0.250 0.500
Sb 0.000 0.000 0.000
Mo 0.500 0.500 0.000
CELL_PARAMETERS angstrom
-2.009 2.009 4.756
2.009 -2.009 4.756
2.009 2.009 -4.756

! Mg2SbMo, optimized geometry, DFT PBE; values from VASP
! - energy relative to the elements, uncorrected (eV/atom) = 0.34
! - DFT total energy (Ry per atom) = -0.308
! - total magnetization (μB per cell) = 0.9
&SYSTEM
  ibrav = 0, nat = 4, ntyp = 3
/
ATOMIC_SPECIES
Mg 24.30 Mg.upf
Sb 121.76 Sb.upf
Mo 95.94 Mo.upf
ATOMIC_POSITIONS crystal
Mg 0.000 0.000 0.000
Mg 0.250 0.250 0.250
Sb 0.500 0.500 0.500
Mo 0.750 0.750 0.750
CELL_PARAMETERS angstrom
0.000 3.378 3.378
3.378 0.000 3.378
3.378 3.378 0.000

! MgSb2Mo, optimized geometry, DFT PBE; values from VASP
! - energy relative to the elements, uncorrected (eV/atom) = 0.37
! - DFT total energy (Ry per atom) = -0.352
! - total magnetization (μB per cell) = 0.1
&SYSTEM
  ibrav = 0, nat = 4, ntyp = 3
/
ATOMIC_SPECIES
Mg 24.30 Mg.upf
Sb 121.76 Sb.upf
Mo 95.94 Mo.upf
ATOMIC_POSITIONS crystal
Mg 0.000 0.000 0.000
Sb 0.000 0.500 0.500
Sb 0.500 0.500 0.000
Mo 0.500 0.000 0.500
CELL_PARAMETERS angstrom
3.765 0.000 0.000
0.000 4.245 0.000
0.000 0.000 5.281

! MgSbMo2, optimized geometry, DFT PBE; values from VASP
! - energy relative to the elements, uncorrected (eV/atom) = 0.27
! - DFT total energy (Ry per atom) = -0.484
! - total magnetization (μB per cell) = 0.0
! - distance to the lowest polymorph of the same formula (meV per atom) = 130
&SYSTEM
  ibrav = 0, nat = 4, ntyp = 3
/
ATOMIC_SPECIES
Mg 24.30 Mg.upf
Sb 121.76 Sb.upf
Mo 95.94 Mo.upf
ATOMIC_POSITIONS crystal
Mg 0.000 0.000 0.000
Sb 0.750 0.750 0.750
Mo 0.250 0.250 0.250
Mo 0.500 0.500 0.500
CELL_PARAMETERS angstrom
0.000 3.257 3.257
3.257 0.000 3.257
3.257 3.257 0.000

! MgSb2Mo, optimized geometry, DFT PBE; values from VASP
! - energy relative to the elements, uncorrected (eV/atom) = 0.27
! - DFT total energy (Ry per atom) = -0.360
! - total magnetization (μB per cell) = 0.0
&SYSTEM
  ibrav = 0, nat = 4, ntyp = 3
/
ATOMIC_SPECIES
Mg 24.30 Mg.upf
Sb 121.76 Sb.upf
Mo 95.94 Mo.upf
ATOMIC_POSITIONS crystal
Mg 0.000 0.000 0.000
Sb 0.000 0.500 0.500
Sb 0.500 0.000 0.500
Mo 0.500 0.500 0.000
CELL_PARAMETERS angstrom
3.169 -3.653 0.000
3.169 3.653 0.000
0.000 0.000 3.543

! MgSb2Mo, optimized geometry, DFT PBE; values from VASP
! - energy relative to the elements, uncorrected (eV/atom) = 0.27
! - DFT total energy (Ry per atom) = -0.360
! - total magnetization (μB per cell) = 0.0
&SYSTEM
  ibrav = 0, nat = 4, ntyp = 3
/
ATOMIC_SPECIES
Mg 24.30 Mg.upf
Sb 121.76 Sb.upf
Mo 95.94 Mo.upf
ATOMIC_POSITIONS crystal
Mg 0.000 0.000 0.000
Sb 0.000 0.500 0.500
Sb 0.500 0.000 0.500
Mo 0.500 0.500 0.000
CELL_PARAMETERS angstrom
4.786 0.000 0.000
0.000 4.786 0.000
0.000 0.000 3.574

! MgSb2Mo, optimized geometry, DFT PBE; values from VASP
! - energy relative to the elements, uncorrected (eV/atom) = 0.06
! - DFT total energy (Ry per atom) = -0.376
! - total magnetization (μB per cell) = 0.0
&SYSTEM
  ibrav = 0, nat = 4, ntyp = 3
/
ATOMIC_SPECIES
Mg 24.30 Mg.upf
Sb 121.76 Sb.upf
Mo 95.94 Mo.upf
ATOMIC_POSITIONS crystal
Mg 0.000 0.000 0.000
Sb 0.242 0.242 0.242
Sb 0.758 0.758 0.758
Mo 0.500 0.500 0.500
CELL_PARAMETERS angstrom
1.786 1.031 8.142
-1.786 1.031 8.142
0.000 -2.063 8.142